The following is a PBEsol calculation of an optimized crystal structure of ZrP2Cl, from Alexandria.

Values from the calculation:
total magnetization: 0.000 μB/atom
calculated volume: 128 Å³/cell
polymorph energy (0 for the lowest one): 251 meV per atom
total DFT energy (no corrections): -49.05 eV/cell
N(E_F): 0.422 states/eV/atom
uncorrected formation energy: -0.461 eV per atom

```
data_ZrP2Cl
_chemical_formula_sum 'Zr2 P4 Cl2'
_cell_length_a 3.656
_cell_length_b 3.759
_cell_length_c 9.326
_cell_angle_alpha 90.00
_cell_angle_beta 90.00
_cell_angle_gamma 90.00
_symmetry_space_group_name_H-M 'I m m m'
_symmetry_Int_Tables_number 71
_symmetry_space_group_name_Hall '-I 2 2'
loop_
_atom_site_label
_atom_site_type_symbol
_atom_site_fract_x
_atom_site_fract_y
_atom_site_fract_z
_atom_site_occupancy
Zr1 Zr 0.000 0.000 0.000 1
P1 P 0.000 0.500 0.251 1
Cl1 Cl 0.000 0.000 0.500 1
```


The following is a PBEsol calculation of an optimized crystal structure of ZrPCl2, from Alexandria.

Values from the calculation:
total magnetization: 0.000 μB/atom
calculated volume: 189 Å³/cell
polymorph energy (0 for the lowest one): 0 meV per atom
total DFT energy (no corrections): -45.16 eV/cell
N(E_F): 0.611 states/eV/atom
uncorrected formation energy: -0.921 eV per atom

```
data_ZrPCl2
_chemical_formula_sum 'Zr2 P2 Cl4'
_cell_length_a 3.212
_cell_length_b 4.250
_cell_length_c 13.825
_cell_angle_alpha 90.00
_cell_angle_beta 90.00
_cell_angle_gamma 90.00
_symmetry_space_group_name_H-M 'I m m m'
_symmetry_Int_Tables_number 71
_symmetry_space_group_name_Hall '-I 2 2'
loop_
_atom_site_label
_atom_site_type_symbol
_atom_site_fract_x
_atom_site_fract_y
_atom_site_fract_z
_atom_site_occupancy
Zr1 Zr 0.000 0.000 0.000 1
P1 P 0.000 0.000 0.500 1
Cl1 Cl 0.000 0.500 0.347 1
```


The following is a PBEsol calculation of an optimized crystal structure of Zr2PCl, from Alexandria.

Values from the calculation:
total magnetization: 0.000 μB/atom
calculated volume: 71 Å³/cell
total DFT energy (no corrections): -30.12 eV/cell
N(E_F): 0.673 states/eV/atom
uncorrected formation energy: -1.034 eV per atom

```
data_Zr2PCl
_chemical_formula_sum 'Zr2 P1 Cl1'
_cell_length_a 3.579
_cell_length_b 3.579
_cell_length_c 5.533
_cell_angle_alpha 90.00
_cell_angle_beta 90.00
_cell_angle_gamma 90.00
_symmetry_space_group_name_H-M 'P 4 m m'
_symmetry_Int_Tables_number 99
loop_
_symmetry_equiv_pos_as_xyz
'x,y,z'
'-y,x,z'
'-x,-y,z'
'y,-x,z'
'-x,y,z'
'y,x,z'
'x,-y,z'
'-y,-x,z'
loop_
_atom_site_label
_atom_site_type_symbol
_atom_site_fract_x
_atom_site_fract_y
_atom_site_fract_z
_atom_site_occupancy
Zr1 Zr 0.000 0.000 0.000 1
Zr2 Zr 0.500 0.500 0.367 1
P1 P 0.500 0.500 0.873 1
Cl1 Cl 0.000 0.000 0.491 1
```